SrTa2Ag | PBE-GGA | optimized geometry

**Magnetic moment**: 0.000 Bohr magnetons per cell
**Density of states at the Fermi level**: 4.24 states/eV/cell
**E**: -5.7755 eV per atom
**Distance to the lowest polymorph of the same formula**: 3.45 eV/f.u.
**Energy of formation from the pure elements**: 5.14 eV per formula unit

The structure in POSCAR format:
```
SrTa2Ag
1.0
5.191 0.000 0.000
0.000 5.191 0.000
0.000 0.000 3.112
Ag Sr Ta
1 1 2
Direct
0.500 0.000 0.500 Ag
0.000 0.500 0.500 Sr
0.000 0.000 0.000 Ta
0.500 0.500 0.000 Ta
```

Li2Pd5Au | PBE-GGA | optimized geometry

**Magnetic moment**: 0.000 Bohr magnetons per cell
**Density of states at the Fermi level**: 16.28 states/eV/cell
**E**: -4.4257 eV per atom
**Energy of formation from the pure elements**: -2.34 eV per formula unit

The structure in POSCAR format:
```
Li2Pd5Au
1.0
-3.005 -2.462 0.443
1.754 -1.219 5.118
-6.174 8.272 4.086
Li Pd Au
4 10 2
Direct
0.500 0.242 0.625 Li
0.500 0.758 0.375 Li
0.500 0.258 0.125 Li
0.500 0.742 0.875 Li
0.000 0.000 0.000 Pd
0.000 0.500 0.500 Pd
0.000 0.484 0.749 Pd
0.000 0.516 0.251 Pd
0.000 0.016 0.249 Pd
0.000 0.984 0.751 Pd
0.500 0.238 0.872 Pd
0.500 0.762 0.128 Pd
0.500 0.262 0.372 Pd
0.500 0.738 0.628 Pd
0.000 0.000 0.500 Au
0.000 0.500 0.000 Au
```

PmMgZrRu | PBE-GGA | optimized geometry

**Magnetic moment**: 0.000 Bohr magnetons per cell
**Density of states at the Fermi level**: 4.27 states/eV/cell
**E**: -6.0985 eV per atom
**Energy of formation from the pure elements**: -0.22 eV per formula unit

The structure in POSCAR format:
```
PmMgZrRu
1.0
4.960 0.000 0.000
2.480 4.295 0.000
2.480 1.432 4.050
Ru Mg Zr Pm
1 1 1 1
Direct
0.750 0.750 0.750 Ru
0.250 0.250 0.250 Mg
0.500 0.500 0.500 Zr
0.000 0.000 0.000 Pm
```

Li3BeF4 | PBE-GGA | optimized geometry

**Magnetic moment**: 0.008 Bohr magnetons per cell
**Density of states at the Fermi level**: 1.48 states/eV/cell
**E**: -4.4150 eV per atom
**Formation energy (no corrections)**: -2296 meV/atom

The structure in POSCAR format:
```
Li3BeF4
1.0
4.109 0.000 0.000
0.000 4.109 0.000
-2.054 -2.054 4.426
Li Be F
3 1 4
Direct
0.500 0.500 0.000 Li
0.750 0.250 0.500 Li
0.250 0.750 0.500 Li
0.000 0.000 0.000 Be
0.739 0.739 0.477 F
0.261 0.261 0.523 F
0.500 0.000 0.000 F
0.000 0.500 0.000 F
```

Nd2ThMg2In2 | PBE-GGA | optimized geometry

**Magnetic moment**: 0.000 Bohr magnetons per cell
**Density of states at the Fermi level**: 5.07 states/eV/cell
**E**: -3.8496 eV per atom
**Energy of formation from the pure elements**: -1.33 eV per formula unit

The structure in POSCAR format:
```
Nd2ThMg2In2
1.0
-4.518 2.179 0.718
-4.211 -2.817 -0.072
-2.156 -1.566 9.068
Nd Th Mg In
2 1 2 2
Direct
0.129 0.129 0.613 Nd
0.871 0.871 0.387 Nd
0.000 0.000 0.000 Th
0.599 0.599 0.203 Mg
0.401 0.401 0.797 Mg
0.734 0.734 0.797 In
0.266 0.266 0.203 In
```

ErTmNiPd | PBE-GGA | optimized geometry

**Magnetic moment**: 0.000 Bohr magnetons per cell
**Density of states at the Fermi level**: 2.90 states/eV/cell
**E**: -5.6765 eV per atom
**Distance to the lowest polymorph of the same formula**: 0.12 eV/f.u.
**Energy of formation from the pure elements**: -2.70 eV per formula unit

The structure in POSCAR format:
```
ErTmNiPd
1.0
4.830 0.000 0.000
2.415 4.183 0.000
2.415 1.394 3.943
Ni Tm Pd Er
1 1 1 1
Direct
0.250 0.250 0.250 Ni
0.000 0.000 0.000 Tm
0.750 0.750 0.750 Pd
0.500 0.500 0.500 Er
```

Mg6Cu5Pt | PBE-GGA | optimized geometry

**Magnetic moment**: 0.000 Bohr magnetons per cell
**Density of states at the Fermi level**: 3.67 states/eV/cell
**E**: -3.2467 eV per atom
**Energy of formation from the pure elements**: -2.87 eV per formula unit

The structure in POSCAR format:
```
Mg6Cu5Pt
1.0
4.311 0.002 -0.952
-0.003 6.435 -0.001
-0.873 0.000 6.982
Mg Pt Cu
6 1 5
Direct
0.830 0.751 0.667 Mg
0.830 0.249 0.667 Mg
0.500 0.250 0.000 Mg
0.500 0.750 0.000 Mg
0.170 0.751 0.333 Mg
0.170 0.249 0.333 Mg
0.000 0.000 0.000 Pt
0.674 0.500 0.337 Cu
0.328 0.000 0.667 Cu
0.000 0.500 0.000 Cu
0.672 0.000 0.333 Cu
0.326 0.500 0.663 Cu
```

LiAgAu2 | PBE-GGA | optimized geometry

**Magnetic moment**: 0.000 Bohr magnetons per cell
**Density of states at the Fermi level**: 1.40 states/eV/cell
**E**: -3.1340 eV per atom
**Distance to the lowest polymorph of the same formula**: 0.03 eV/f.u.
**Energy of formation from the pure elements**: -1.22 eV per formula unit

The structure in POSCAR format:
```
LiAgAu2
1.0
-2.555 3.206 -0.071
-3.191 -2.551 -0.339
-0.303 -0.153 4.004
Au Ag Li
2 1 1
Direct
0.000 0.000 0.000 Au
0.500 0.500 0.000 Au
0.000 0.500 0.500 Ag
0.500 0.000 0.500 Li
```

GaMoPt | PBE-GGA | optimized geometry

**Magnetic moment**: 0.000 Bohr magnetons per cell
**Density of states at the Fermi level**: 8.16 states/eV/cell
**E**: -6.9618 eV per atom
**Energy of formation from the pure elements**: -0.99 eV per formula unit

The structure in POSCAR format:
```
GaMoPt
1.0
4.012 0.000 -0.001
0.000 3.512 0.000
-1.434 0.000 13.280
Ga Mo Pt
4 4 4
Direct
0.936 0.000 0.340 Ga
0.064 0.000 0.660 Ga
0.936 0.500 0.840 Ga
0.064 0.500 0.160 Ga
0.500 0.000 0.500 Mo
0.500 0.500 0.000 Mo
0.000 0.000 0.000 Mo
0.000 0.500 0.500 Mo
0.583 0.000 0.167 Pt
0.417 0.000 0.833 Pt
0.583 0.500 0.667 Pt
0.417 0.500 0.333 Pt
```

ZnHg2Sb | PBE-GGA | optimized geometry

**Magnetic moment**: 0.000 Bohr magnetons per cell
**Density of states at the Fermi level**: 1.95 states/eV/cell
**E**: -1.3389 eV per atom
**Distance to the lowest polymorph of the same formula**: 0.33 eV/f.u.
**Formation energy (no corrections)**: 161 meV/atom

The structure in POSCAR format:
```
ZnHg2Sb
1.0
4.478 0.000 0.000
2.239 3.878 0.000
2.239 1.293 5.747
Zn Hg Sb
1 2 1
Direct
0.668 0.668 0.997 Zn
0.068 0.068 0.795 Hg
0.265 0.265 0.205 Hg
0.499 0.499 0.503 Sb
```

Ca2NdPbSe4 | PBE-GGA | optimized geometry

**Magnetic moment**: 0.000 Bohr magnetons per cell
**Density of states at the Fermi level**: 3.22 states/eV/cell
**E**: -4.8544 eV per atom
**Formation energy (no corrections)**: -1552 meV/atom

The structure in POSCAR format:
```
Ca2NdPbSe4
1.0
4.232 0.000 0.000
0.000 7.433 0.149
0.000 -2.578 6.939
Ca Nd Pb Se
2 1 1 4
Direct
0.500 0.000 0.500 Ca
0.000 0.500 0.500 Ca
0.500 0.500 0.000 Nd
0.000 0.000 0.000 Pb
0.500 0.259 0.259 Se
0.500 0.741 0.741 Se
0.000 0.250 0.742 Se
0.000 0.750 0.258 Se
```

HoTmSn | PBE-GGA | optimized geometry

**Magnetic moment**: 0.001 Bohr magnetons per cell
**Density of states at the Fermi level**: 7.60 states/eV/cell
**E**: -4.9225 eV per atom
**Distance to the lowest polymorph of the same formula**: 0.00 eV/f.u.
**Energy of formation from the pure elements**: -1.72 eV per formula unit

The structure in POSCAR format:
```
HoTmSn
1.0
4.444 0.000 -0.927
-0.193 4.440 -0.927
-0.481 -0.503 8.812
Ho Tm Sn
2 2 2
Direct
0.175 0.175 0.349 Ho
0.825 0.825 0.651 Ho
0.000 0.500 0.000 Tm
0.500 0.000 0.000 Tm
0.363 0.363 0.727 Sn
0.637 0.637 0.273 Sn
```